A relaxed structure of NpTlTe, computed with PBE-GGA.

Properties
- Energy: -38.46 eV for the cell shown
- Theoretical density: 10.8 g/cm3
- Energy relative to the elements, uncorrected: -25 kJ/mol of atoms

a b c (Å): 4.414 4.414 8.944
angles (deg): 90.00 90.00 90.00
Atoms (fractional coordinates):
Np  0.250  0.250  0.186
Np  0.750  0.750  0.814
Tl  0.250  0.750  0.500
Tl  0.750  0.250  0.500
Te  0.250  0.250  0.839
Te  0.750  0.750  0.161

***

A relaxed structure of In2GaHgRh, computed with PBE-GGA.

Properties
- Energy: -17.19 eV for the cell shown
- Energy of formation from the pure elements: -0.2065 eV/atom
- Theoretical density: 7.7 g/cm3

a b c (Å): 5.198 5.198 4.810
angles (deg): 90.00 90.00 90.00
Atoms (fractional coordinates):
In  0.000  0.500  0.000
In  0.500  0.000  0.000
Ga  0.000  0.000  0.500
Hg  0.500  0.500  0.500
Rh  0.000  0.000  0.000

***

A relaxed structure of Nd2TmTe, computed with PBE-GGA.

Properties
- Energy: -19.44 eV for the cell shown
- Theoretical density: 7.8 g/cm3
- Energy above the lowest structure with this stoichiometry: 0 meV/atom
- Energy relative to the elements, uncorrected: -55 kJ/mol of atoms

a b c (Å): 4.024 4.024 7.680
angles (deg): 90.00 90.00 90.00
Atoms (fractional coordinates):
Nd  0.000  0.000  0.229
Nd  0.000  0.000  0.771
Tm  0.500  0.500  0.500
Te  0.500  0.500  0.000

***

Please write out number 2 again, unchanged.
A relaxed structure of In2GaHgRh, computed with PBE-GGA.

Properties
- Energy: -17.19 eV for the cell shown
- Energy of formation from the pure elements: -0.2065 eV/atom
- Theoretical density: 7.7 g/cm3

a b c (Å): 5.198 5.198 4.810
angles (deg): 90.00 90.00 90.00
Atoms (fractional coordinates):
In  0.000  0.500  0.000
In  0.500  0.000  0.000
Ga  0.000  0.000  0.500
Hg  0.500  0.500  0.500
Rh  0.000  0.000  0.000